Tl5Hg2Pt2: optimized geometry, PBE-GGA.

The structure belongs to space group C2/m (No. 12); the cell edges are 11.518, 5.424 and 8.130 Å and the angles 90.00°, 96.43° and 90.00°. The distinct sites, in fractional coordinates, are Tl at (0.000, 0.000, 0.000), Tl at (0.138, 0.000, 0.471), Tl at (0.208, 0.500, 0.164), Hg at (0.051, 0.500, 0.687) and Pt at (0.220, 0.000, 0.162).

Its mass density is 11.931 g/cm³. The electronic total energy comes out at -2.741 eV per atom. The value obtained for the calculated volume is 28.041 A^3/atom. Its total moment is 0.000 μB/atom. The energy relative to the elements is -0.017 eV/atom.